A plane-wave DFT calculation with GGA-PBE was carried out for a relaxed SrSnIr2 crystal.

Cell and atoms, written as POSCAR:
```
SrSnIr2
1.0
7.684 0.000 0.000
0.000 7.684 0.000
3.842 3.842 3.099
Sr Ir Sn
2 4 2
Cartesian
3.842 3.842 0.000 Sr
3.842 7.684 1.549 Sr
6.142 1.921 0.775 Ir
1.541 5.763 0.775 Ir
5.763 5.383 2.324 Ir
9.605 9.984 2.324 Ir
0.000 0.000 0.000 Sn
7.684 3.842 1.549 Sn
```

Properties
- DFT formation energy: 1.23 eV/f.u.